Record 1
LiBeFe2Bi | PBE-GGA | optimized geometry

POSCAR file:
```
LiBeFe2Bi
1.0
4.140 0.000 0.000
0.000 4.140 0.000
0.000 0.000 3.890
Be Li Bi Fe
1 1 1 2
Direct
0.000 0.000 0.500
0.000 0.000 0.000
0.500 0.500 0.500
0.000 0.500 0.000
0.500 0.000 0.000
```

Calculated values
Calculated volume ... 13.34 A^3/atom
Energy of formation ... 5.5 eV/f.u.
Space-group type ... No. 123
Electronic total energy ... -20.995 eV/cell
Total moment ... 0.030 μB/f.u.

=====

Record 2
NaCuNi2 | PBE-GGA | optimized geometry

POSCAR file:
```
NaCuNi2
1.0
-3.547 1.007 -0.426
-0.907 -3.518 -0.763
-3.680 -2.742 7.990
Ni Cu Na
4 2 2
Direct
0.691 0.125 0.250
0.059 0.625 0.250
0.375 0.309 0.750
0.875 0.941 0.750
0.000 0.000 0.000
0.750 0.250 0.500
0.500 0.500 0.000
0.250 0.750 0.500
```

Calculated values
Calculated volume ... 15.21 A^3/atom
Energy of formation ... 2.6 eV/f.u.
Polymorph energy (0 for the lowest one) ... 148 meV/atom
Space-group type ... No. 122
Electronic total energy ... -28.728 eV/cell
Total moment ... 0.739 μB/f.u.

=====

Record 3
ZrScP4 | PBE-GGA | optimized geometry

POSCAR file:
```
ZrScP4
1.0
0.000 3.648 3.648
3.648 0.000 3.648
3.648 3.648 0.000
Zr Sc P
1 1 4
Direct
0.000 0.000 0.000
0.750 0.750 0.750
0.876 0.375 0.375
0.375 0.375 0.876
0.375 0.876 0.375
0.375 0.375 0.375
```

Calculated values
Calculated volume ... 16.18 A^3/atom
Energy of formation ... -0.3 eV/f.u.
Space-group type ... No. 216
Electronic total energy ... -36.866 eV/cell
Total moment ... 0.000 μB/f.u.

=====

Record 4
YZr2Tc | PBE-GGA | optimized geometry

POSCAR file:
```
YZr2Tc
1.0
-1.393 -5.758 0.336
1.103 -5.474 -2.007
3.107 -2.922 2.955
Y Tc Zr
1 1 2
Direct
0.250 0.250 0.250
0.750 0.750 0.750
0.043 0.043 0.957
0.457 0.457 0.543
```

Calculated values
Calculated volume ... 22.50 A^3/atom
Energy of formation ... -0.5 eV/f.u.
Polymorph energy (0 for the lowest one) ... 0 meV/atom
Space-group type ... No. 12
Electronic total energy ... -34.432 eV/cell
Total moment ... 0.000 μB/f.u.

=====

Record 5
CoTe4Rh | PBE-GGA | optimized geometry

POSCAR file:
```
CoTe4Rh
1.0
0.000 4.334 4.334
4.334 0.000 4.334
4.334 4.334 0.000
Co Te Rh
1 4 1
Direct
0.750 0.750 0.750
0.876 0.375 0.375
0.375 0.375 0.876
0.375 0.876 0.375
0.375 0.375 0.375
0.000 0.000 0.000
```

Calculated values
Calculated volume ... 27.13 A^3/atom
Polymorph energy (0 for the lowest one) ... 1568 meV/atom
Space-group type ... No. 216
Electronic total energy ... -19.376 eV/cell
Total moment ... 3.265 μB/f.u.

=====

Record 6
MnRe2 | PBE-GGA | optimized geometry

POSCAR file:
```
MnRe2
1.0
4.994 0.002 -0.002
-0.956 2.936 0.000
0.956 0.311 2.920
Mn Re
1 2
Direct
0.000 0.000 0.000
0.668 0.334 0.666
0.332 0.666 0.334
```

Calculated values
Calculated volume ... 14.27 A^3/atom
Energy of formation ... 0.3 eV/f.u.
Space-group type ... No. 139
Electronic total energy ... -33.748 eV/cell
Total moment ... 3.011 μB/f.u.

=====

Record 7
La2RePb | PBE-GGA | optimized geometry

POSCAR file:
```
La2RePb
1.0
-4.545 -0.292 2.197
0.145 -5.041 -0.368
1.841 -0.223 3.778
La Pb Re
2 1 1
Direct
0.000 0.000 0.000
0.500 0.500 0.000
0.500 0.000 0.500
0.000 0.500 0.500
```

Calculated values
Calculated volume ... 26.90 A^3/atom
Energy of formation ... 0.7 eV/f.u.
Space-group type ... No. 123
Electronic total energy ... -25.292 eV/cell
Total moment ... 0.001 μB/f.u.

=====

Record 8
Ho4ErMg7 | PBE-GGA | optimized geometry

POSCAR file:
```
Ho4ErMg7
1.0
-1.628 -3.816 -3.796
0.640 -9.488 5.098
-6.270 -1.041 -0.429
Ho Er Mg
4 1 7
Direct
0.616 0.221 0.547
0.384 0.779 0.453
0.756 0.676 0.813
0.244 0.324 0.187
0.000 0.000 0.000
0.779 0.923 0.518
0.221 0.077 0.482
0.068 0.680 0.183
0.932 0.320 0.817
0.369 0.505 0.757
0.500 0.000 0.000
0.631 0.495 0.243
```

Calculated values
Calculated volume ... 27.83 A^3/atom
Energy of formation ... 2.0 eV/f.u.
Polymorph energy (0 for the lowest one) ... 182 meV/atom
Space-group type ... No. 12
Electronic total energy ... -32.083 eV/cell
Total moment ... 0.000 μB/f.u.

=====

Record 9
Li2Ga3Pt4 | PBE-GGA | optimized geometry

POSCAR file:
```
Li2Ga3Pt4
1.0
5.598 0.000 0.000
0.000 7.165 0.000
-2.799 0.000 7.492
Li Ga Pt
4 6 8
Direct
0.092 0.592 0.184
0.908 0.408 0.816
0.408 0.092 0.816
0.592 0.908 0.184
0.000 0.000 0.000
0.500 0.500 0.000
0.511 0.750 0.522
0.989 0.250 0.478
0.489 0.250 0.478
0.011 0.750 0.522
0.682 0.750 0.864
0.818 0.250 0.136
0.318 0.250 0.136
0.182 0.750 0.864
0.172 0.973 0.345
0.828 0.027 0.655
0.328 0.473 0.655
0.672 0.527 0.345
```

Calculated values
Calculated volume ... 16.70 A^3/atom
Energy of formation ... -5.8 eV/f.u.
Polymorph energy (0 for the lowest one) ... 35 meV/atom
Space-group type ... No. 64
Electronic total energy ... -85.673 eV/cell
Total moment ... 0.000 μB/f.u.

=====

Record 10
TlCd2 | PBE-GGA | optimized geometry

POSCAR file:
```
TlCd2
1.0
-3.525 3.525 3.400
3.525 -3.525 3.400
3.525 3.525 -3.400
Tl Cd
2 4
Direct
0.250 0.250 0.000
0.750 0.750 0.000
0.855 0.355 0.209
0.145 0.645 0.791
0.355 0.145 0.500
0.645 0.855 0.500
```

Calculated values
Calculated volume ... 28.16 A^3/atom
Energy of formation ... 0.5 eV/f.u.
Space-group type ... No. 140
Electronic total energy ... -7.489 eV/cell
Total moment ... 0.000 μB/f.u.

=====

Record 11
TiBe2W2 | PBE-GGA | optimized geometry

POSCAR file:
```
TiBe2W2
1.0
-5.539 -2.884 -0.367
0.973 -2.583 5.614
-1.415 2.538 1.413
Be W Ti
4 4 2
Direct
0.384 0.884 0.000
0.884 0.616 0.000
0.616 0.116 0.000
0.116 0.384 0.000
0.177 0.677 0.500
0.677 0.823 0.500
0.823 0.323 0.500
0.323 0.177 0.500
0.000 0.000 0.000
0.500 0.500 0.000
```

Calculated values
Calculated volume ... 12.65 A^3/atom
Energy of formation ... -0.9 eV/f.u.
Space-group type ... No. 127
Electronic total energy ... -84.291 eV/cell
Total moment ... 0.000 μB/f.u.

=====

Record 12
La3Te | PBE-GGA | optimized geometry

POSCAR file:
```
La3Te
1.0
-0.230 -3.620 -5.370
-2.671 -6.312 4.369
-9.744 3.009 -1.610
La Te
12 4
Direct
0.124 0.026 0.750
0.624 0.474 0.250
0.376 0.526 0.750
0.876 0.974 0.250
0.621 0.197 0.964
0.121 0.303 0.036
0.879 0.697 0.536
0.379 0.803 0.464
0.379 0.803 0.036
0.879 0.697 0.964
0.121 0.303 0.464
0.621 0.197 0.536
0.602 0.898 0.750
0.102 0.602 0.250
0.898 0.398 0.750
0.398 0.102 0.250
```

Calculated values
Calculated volume ... 33.99 A^3/atom
Polymorph energy (0 for the lowest one) ... 0 meV/atom
Space-group type ... No. 62
Electronic total energy ... -83.895 eV/cell
Total moment ... 0.000 μB/f.u.

=====

Record 13
MgAl3Cd | PBE-GGA | optimized geometry

POSCAR file:
```
MgAl3Cd
1.0
5.127 0.000 0.000
0.000 5.127 0.000
0.000 0.000 5.127
Mg Al Cd
1 3 1
Direct
0.500 0.500 0.500
0.000 0.500 0.000
0.000 0.000 0.500
0.500 0.000 0.000
0.000 0.000 0.000
```

Calculated values
Calculated volume ... 26.95 A^3/atom
Energy of formation ... 3.6 eV/f.u.
Polymorph energy (0 for the lowest one) ... 0 meV/atom
Space-group type ... No. 221
Electronic total energy ... -10.113 eV/cell
Total moment ... 0.000 μB/f.u.

=====

Record 14
NaTl2Tc2O7 | PBE-GGA | optimized geometry

POSCAR file:
```
NaTl2Tc2O7
1.0
-2.026 -0.453 3.257
-0.728 -3.669 -0.963
8.397 -5.467 6.749
Na Tl Tc O
1 2 2 7
Direct
0.000 0.000 0.000
0.811 0.811 0.378
0.189 0.189 0.622
0.583 0.583 0.834
0.417 0.417 0.166
0.500 0.500 0.000
0.337 0.337 0.327
0.663 0.663 0.673
0.918 0.418 0.163
0.418 0.918 0.163
0.582 0.082 0.837
0.082 0.582 0.837
```

Calculated values
Calculated volume ... 14.63 A^3/atom
Space-group type ... No. 139
Electronic total energy ... -76.849 eV/cell
Total moment ... 0.000 μB/f.u.

=====

Record 15
Ac3DyHo3Te8 | PBE-GGA | optimized geometry

POSCAR file:
```
Ac3DyHo3Te8
1.0
8.907 0.000 0.000
-4.453 7.714 -0.028
0.000 -5.115 7.565
Ac Dy Ho Te
3 1 3 8
Direct
0.000 0.000 0.000
0.000 0.500 0.000
0.500 0.500 0.000
0.000 0.000 0.500
0.500 0.000 0.500
0.500 0.500 0.500
0.000 0.500 0.500
0.259 0.518 0.277
0.741 0.482 0.723
0.752 0.504 0.270
0.248 0.496 0.730
0.752 0.018 0.270
0.248 0.982 0.730
0.266 0.018 0.270
0.734 0.982 0.730
```

Calculated values
Calculated volume ... 34.57 A^3/atom
Space-group type ... No. 166
Electronic total energy ... -77.021 eV/cell
Total moment ... 0.000 μB/f.u.

=====

Record 16
TiMnPb | PBE-GGA | optimized geometry

POSCAR file:
```
TiMnPb
1.0
-1.407 2.100 -1.867
-3.300 -1.234 1.099
1.405 11.959 17.649
Pb Mn Ti
4 4 4
Direct
0.577 0.000 0.328
0.423 0.000 0.672
0.577 0.500 0.828
0.423 0.500 0.172
0.711 0.000 0.461
0.289 0.000 0.539
0.711 0.500 0.961
0.289 0.500 0.039
0.816 0.000 0.065
0.184 0.000 0.935
0.816 0.500 0.565
0.184 0.500 0.435
```

Calculated values
Calculated volume ... 20.42 A^3/atom
Energy of formation ... 0.2 eV/f.u.
Space-group type ... No. 12
Electronic total energy ... -82.243 eV/cell
Total moment ... 0.349 μB/f.u.

=====

Record 17
Ti6Nb2Re | PBE-GGA | optimized geometry

POSCAR file:
```
Ti6Nb2Re
1.0
-3.262 -2.481 1.616
3.206 -5.055 -1.291
2.797 4.016 5.744
Ti Nb Re
6 2 1
Direct
0.160 0.407 0.318
0.840 0.090 0.682
0.840 0.593 0.682
0.500 0.247 0.000
0.160 0.910 0.318
0.500 0.753 0.000
0.670 0.669 0.338
0.330 0.331 0.662
0.000 0.000 0.000
```

Calculated values
Calculated volume ... 19.57 A^3/atom
Energy of formation ... 4.9 eV/f.u.
Space-group type ... No. 12
Electronic total energy ... -75.010 eV/cell
Total moment ... 0.000 μB/f.u.

=====

Record 18
V2NiSbH | PBE-GGA | optimized geometry

POSCAR file:
```
V2NiSbH
1.0
3.769 0.000 0.000
0.000 3.769 0.000
0.000 0.000 4.200
Sb V H Ni
1 2 1 1
Direct
0.500 0.500 0.500
0.000 0.500 0.000
0.500 0.000 0.000
0.000 0.000 0.000
0.000 0.000 0.500
```

Calculated values
Calculated volume ... 11.93 A^3/atom
Space-group type ... No. 123
Electronic total energy ... -32.157 eV/cell
Total moment ... 0.000 μB/f.u.

=====

Record 19
MnBiAuN | PBE-GGA | optimized geometry

POSCAR file:
```
MnBiAuN
1.0
3.533 0.000 0.000
0.000 3.055 0.000
0.000 0.000 13.456
Mn Bi Au N
2 2 2 2
Direct
0.000 0.000 0.136
0.500 0.500 0.636
0.000 0.000 0.845
0.500 0.500 0.345
0.000 0.000 0.518
0.500 0.500 0.018
0.000 0.500 0.219
0.500 0.000 0.719
```

Calculated values
Calculated volume ... 18.16 A^3/atom
Polymorph energy (0 for the lowest one) ... 86 meV/atom
Space-group type ... No. 44
Electronic total energy ... -47.536 eV/cell
Total moment ... 3.544 μB/f.u.

=====

Record 20
MnIrPd3 | PBE-GGA | optimized geometry

POSCAR file:
```
MnIrPd3
1.0
4.446 0.000 0.000
0.000 4.446 0.000
0.000 0.000 4.446
Mn Ir Pd
1 1 3
Direct
0.000 0.000 0.000
0.500 0.500 0.500
0.000 0.500 0.000
0.000 0.000 0.500
0.500 0.000 0.000
```

Calculated values
Calculated volume ... 17.58 A^3/atom
Energy of formation ... 6.8 eV/f.u.
Polymorph energy (0 for the lowest one) ... 145 meV/atom
Space-group type ... No. 221
Electronic total energy ... -26.834 eV/cell
Total moment ... 0.000 μB/f.u.